Below is an optimized crystal structure of Ce3GaOs2, with properties calculated at the PBE level.

POSCAR file:
```
Ce3GaOs2
1.0
4.403 0.000 -1.275
-0.317 3.868 -1.098
-0.133 0.097 7.790
Ce Ga Os
3 1 2
Direct
0.500 0.500 0.000
0.818 0.318 0.637
0.182 0.682 0.363
0.000 0.000 0.000
0.363 0.863 0.725
0.637 0.137 0.275
```

Results
energy = -45.1 eV per cell
energy relative to the lowest polymorph listed for this composition = 0.00 eV/f.u.
DOS at the Fermi energy = 1.12 states/eV/atom
total moment = 0.000 μB/f.u.
ΔH_f (0 K) = -0.30 eV per atom
crystal system = orthorhombic
space-group type = Immm (71)